# Cd3NiCl2F6 PBE+U optimized geometry
# - Uncorrected energy: -84.42 eV per cell
data_Cd3NiCl2F6
_chemical_formula_sum 'Cd6 Ni2 Cl4 F12'
_symmetry_space_group_name_H-M 'C 1 2/m 1'
_symmetry_Int_Tables_number 12
_symmetry_space_group_name_Hall '-C 2y'
_cell_length_a 11.835
_cell_length_b 6.631
_cell_length_c 5.255
_cell_angle_alpha 90.00
_cell_angle_beta 95.92
_cell_angle_gamma 90.00
loop_
_atom_site_label
_atom_site_type_symbol
_atom_site_fract_x
_atom_site_fract_y
_atom_site_fract_z
_atom_site_occupancy
Cd1 Cd 0.000 0.000 0.000 1
Cd2 Cd 0.250 0.250 0.500 1
Ni1 Ni 0.000 0.500 0.500 1
Cl1 Cl 0.195 0.000 0.840 1
F1 F 0.067 0.259 0.291 1
F2 F 0.156 0.500 0.681 1